The following is a DFT calculation (PBE) of a geometry-optimized Ba2NaLiRh structure.

Lattice parameters (Å, degrees): 5.9473 5.9473 5.7143 90.00 90.00 90.00
Closest atoms and distances in Å follow each position.
Space group P4/mmm (No. 123)
One atom of each set of equivalent atoms:
1 Ba 0.0000 0.5000 0.0000 x2  2 Rh 2.97
2 Na 0.0000 0.0000 0.5000 x1  2 Rh 2.86
3 Li 0.5000 0.5000 0.5000 x1  8 Ba 4.12, 4 Na 4.21
4 Rh 0.0000 0.0000 0.0000 x1  2 Na 2.86, 4 Ba 2.97

The value obtained for the excess energy over the best structure of this formula in the dataset is 83 meV/atom. Its total DFT energy (no corrections) is -2.84 eV/atom. Its crystal system is tetragonal. For the density of states at the Fermi level, the calculation gives 0.56 states/eV/atom. Its calculated volume is 202 Å³ per cell. As for the calculated formation energy: 0.05 eV per atom.

***

The following is a DFT calculation (PBE) of a geometry-optimized Ac2AlGa2Au4 structure.

Lattice parameters (Å, degrees): 6.8528 6.8528 9.0287 90.00 90.00 90.00
Closest atoms and distances in Å follow each position.
Space group I4/mmm (No. 139)
One atom of each set of equivalent atoms:
1 Ac 0.0000 0.5000 0.2500 x4  8 Au 3.32, 4 Ga 3.48
2 Al 0.0000 0.0000 0.0000 x2  4 Au 2.60, 2 Ga 2.87
3 Ga 0.0000 0.0000 0.3175 x4  4 Au 2.78, 1 Al 2.87
4 Au 0.2314 0.2314 0.5000 x8  1 Al 2.60, 2 Ga 2.78

Its total DFT energy (no corrections) is -4.07 eV/atom. Its crystal system is tetragonal. For the density of states at the Fermi level, the calculation gives 0.45 states/eV/atom. Its calculated volume is 424 Å³ per cell. As for the calculated formation energy: -0.61 eV per atom.

***

The following is a DFT calculation (PBE) of a geometry-optimized Ce5CdHg8 structure.

Lattice parameters (Å, degrees): 9.2916 9.2916 9.1607 90.00 90.00 90.00
Closest atoms and distances in Å follow each position.
Space group I-4 (No. 82)
One atom of each set of equivalent atoms:
1 Ce 0.0000 0.0000 0.0000 x2  8 Hg 3.21-3.32
2 Ce 0.1130 0.7536 0.6395 x8  8 Hg 3.20-3.35
3 Cd 0.0000 0.5000 0.2500 x2  8 Hg 3.03-3.06
4 Hg 0.0755 0.6640 0.9748 x8  1 Cd 3.03, 5 Ce 3.20-3.35, 2 Hg 3.26-3.35
5 Hg 0.0864 0.8140 0.2966 x8  1 Cd 3.06, 5 Ce 3.20-3.32, 1 Hg 3.26

Its total DFT energy (no corrections) is -2.57 eV/atom. Its crystal system is tetragonal. For the density of states at the Fermi level, the calculation gives 2.99 states/eV/atom. Its calculated volume is 791 Å³ per cell. As for the calculated formation energy: -0.21 eV per atom.

***

These records have M_tot values of 0.00; 0.00; 5.46 μB/f.u., in the order they appear.